First-principles (meta-GGA SCAN) data for PAuI3 at its PBEsol-relaxed geometry, as listed in the Alexandria database.

Summary:
The value obtained for the uncorrected formation energy is 0.688 eV/atom. As for the magnetization: 2.40 μB per formula unit. For the density of states at the Fermi level, the calculation gives 0.8842 states/eV per atom. The value obtained for the mass density is 6.02 g/cm3.

Cell lengths 5.516, 5.516, 5.516 Å; angles 90.00, 90.00, 90.00 degrees
Space group Pm-3m (No. 221)
Symmetry-distinct sites (fractional):
P 0.000 0.000 0.000 (multiplicity 1)
Au 0.500 0.500 0.500 (multiplicity 1)
I 0.000 0.500 0.500 (multiplicity 3)